[1]
! InCoAs2Se GGA-PBEsol relaxed; values from VASP
! Space-group type: No. 123
! VASP energy: -3.511 eV/atom
! ρ: 5.01 Mg/m³
&SYSTEM
  ibrav = 0, nat = 5, ntyp = 4
/
ATOMIC_SPECIES
In 114.82 In.upf
Co 58.93 Co.upf
As 74.92 As.upf
Se 78.96 Se.upf
ATOMIC_POSITIONS angstrom
In 0.000 0.000 0.000
Co 2.541 2.541 2.582
As 0.000 2.541 0.000
As 2.541 0.000 0.000
Se 0.000 0.000 2.582
CELL_PARAMETERS angstrom
5.082 0.000 0.000
0.000 5.082 0.000
0.000 0.000 5.164

***

[2]
! Ca6Al43W4 GGA-PBEsol relaxed; values from VASP
! Space-group type: No. 193
! ΔH_f (0 K): -0.200 eV per atom
! VASP energy: -4.803 eV/atom
! ρ: 3.83 Mg/m³
&SYSTEM
  ibrav = 0, nat = 106, ntyp = 3
/
ATOMIC_SPECIES
Ca 40.08 Ca.upf
Al 26.98 Al.upf
W 183.84 W.upf
ATOMIC_POSITIONS angstrom
Ca -2.570 4.452 1.675
Ca -2.570 4.452 7.173
Ca -2.928 5.071 10.522
Ca -2.928 5.071 16.020
Ca 5.140 0.000 1.675
Ca 5.140 0.000 7.173
Ca 2.570 4.452 10.522
Ca 2.570 4.452 16.020
Ca 5.856 0.000 10.522
Ca 5.856 0.000 16.020
Ca 2.928 5.071 1.675
Ca 2.928 5.071 7.173
Al -0.811 1.405 13.271
Al -0.875 1.516 2.031
Al -0.875 1.516 6.816
Al -1.387 2.402 9.413
Al -1.387 2.402 17.129
Al -4.111 7.120 0.566
Al -4.111 7.120 8.282
Al -4.623 8.007 10.879
Al -4.623 8.007 15.664
Al -4.687 8.118 4.424
Al 1.622 0.000 13.271
Al 0.811 1.405 4.424
Al -1.389 5.234 4.424
Al -1.660 5.703 13.271
Al -0.442 3.743 11.759
Al -0.442 3.743 14.784
Al -2.478 7.268 2.911
Al -2.478 7.268 5.937
Al 1.750 0.000 2.031
Al 1.750 0.000 6.816
Al 0.875 1.516 10.879
Al 0.875 1.516 15.664
Al 0.442 3.743 2.911
Al 0.442 3.743 5.937
Al -2.035 8.034 11.759
Al -2.035 8.034 14.784
Al 0.000 4.699 0.000
Al 0.000 4.699 8.848
Al -1.429 7.173 0.000
Al -1.429 7.173 8.848
Al 2.774 0.000 9.413
Al 2.774 0.000 17.129
Al 1.387 2.402 0.566
Al 1.387 2.402 8.282
Al 0.000 6.348 2.222
Al 0.000 6.348 6.626
Al 0.000 6.348 11.070
Al 0.000 6.348 15.473
Al 3.462 1.488 11.759
Al 3.462 1.488 14.784
Al 3.020 2.254 2.911
Al 3.020 2.254 5.937
Al 1.389 5.234 13.271
Al -0.271 8.108 4.424
Al 1.660 5.703 4.424
Al 0.271 8.108 13.271
Al 4.069 2.349 0.000
Al 4.069 2.349 8.848
Al 1.429 7.173 0.000
Al 1.429 7.173 8.848
Al 5.227 1.414 4.424
Al 3.838 3.820 13.271
Al 5.768 1.414 13.271
Al 4.109 4.289 4.424
Al 2.478 7.268 11.759
Al 2.478 7.268 14.784
Al 2.035 8.034 2.911
Al 2.035 8.034 5.937
Al 5.498 3.174 2.222
Al 5.498 3.174 6.626
Al 5.498 3.174 11.070
Al 5.498 3.174 15.473
Al 8.222 0.000 0.566
Al 8.222 0.000 8.282
Al 4.111 7.120 9.413
Al 4.111 7.120 17.129
Al 6.926 2.349 0.000
Al 6.926 2.349 8.848
Al 5.498 4.824 0.000
Al 5.498 4.824 8.848
Al 7.533 1.488 2.911
Al 7.533 1.488 5.937
Al 5.056 5.780 11.759
Al 5.056 5.780 14.784
Al 9.245 0.000 10.879
Al 9.245 0.000 15.664
Al 4.623 8.007 2.031
Al 4.623 8.007 6.816
Al 7.976 2.254 11.759
Al 7.976 2.254 14.784
Al 5.940 5.780 2.911
Al 5.940 5.780 5.937
Al 7.157 3.820 4.424
Al 6.887 4.289 13.271
Al 9.373 0.000 4.424
Al 4.687 8.118 13.271
W 0.000 0.000 0.000
W 0.000 0.000 8.848
W -1.483 2.568 4.424
W -4.015 6.954 13.271
W 2.966 0.000 4.424
W 1.483 2.568 13.271
W 8.030 0.000 13.271
W 4.015 6.954 4.424
CELL_PARAMETERS angstrom
10.996 0.000 0.000
-5.498 9.523 0.000
0.000 0.000 17.695

***

[3]
! TlCd2Sb2 GGA-PBEsol relaxed; values from VASP
! Space-group type: No. 139
! VASP energy: -2.791 eV/atom
! ρ: 8.05 Mg/m³
&SYSTEM
  ibrav = 0, nat = 10, ntyp = 3
/
ATOMIC_SPECIES
Tl 204.38 Tl.upf
Cd 112.41 Cd.upf
Sb 121.76 Sb.upf
ATOMIC_POSITIONS angstrom
Tl 0.000 0.000 0.000
Tl 2.220 2.220 7.039
Cd 0.000 2.220 3.520
Cd 0.000 2.220 10.559
Cd 2.220 0.000 3.520
Cd 2.220 0.000 10.559
Sb 0.000 0.000 5.434
Sb 0.000 0.000 8.644
Sb 2.220 2.220 1.605
Sb 2.220 2.220 12.473
CELL_PARAMETERS angstrom
4.441 0.000 0.000
0.000 4.441 0.000
0.000 0.000 14.078

***

[4]
! Rh7W GGA-PBEsol relaxed; values from VASP
! Space-group type: No. 225
! ΔH_f (0 K): -0.117 eV per atom
! VASP energy: -8.964 eV/atom
! ρ: 13.74 Mg/m³
&SYSTEM
  ibrav = 0, nat = 8, ntyp = 2
/
ATOMIC_SPECIES
Rh 102.91 Rh.upf
W 183.84 W.upf
ATOMIC_POSITIONS angstrom
Rh 0.000 0.000 0.000
Rh 1.897 1.897 0.000
Rh 1.897 0.000 1.897
Rh 3.795 1.897 1.897
Rh 0.000 1.897 1.897
Rh 1.897 3.795 1.897
Rh 1.897 1.897 3.795
W 3.795 3.795 3.795
CELL_PARAMETERS angstrom
0.000 3.795 3.795
3.795 0.000 3.795
3.795 3.795 0.000

***

[5]
! CsKH2 GGA-PBEsol relaxed; values from VASP
! Space-group type: No. 122
! VASP energy: -2.289 eV/atom
! ρ: 2.59 Mg/m³
&SYSTEM
  ibrav = 0, nat = 16, ntyp = 3
/
ATOMIC_SPECIES
Cs 132.91 Cs.upf
K 39.10 K.upf
H 1.01 H.upf
ATOMIC_POSITIONS angstrom
Cs 0.000 0.000 0.000
Cs 0.000 3.644 2.104
Cs 3.644 0.000 6.313
Cs 3.644 3.644 4.208
K 0.000 0.000 4.208
K 0.000 3.644 6.313
K 3.644 0.000 2.104
K 3.644 3.644 0.000
H 1.544 5.465 5.261
H 1.822 1.544 3.156
H 1.822 2.100 7.365
H 2.100 5.465 1.052
H 5.187 1.822 1.052
H 5.465 5.187 7.365
H 5.465 5.744 3.156
H 5.744 1.822 5.261
CELL_PARAMETERS angstrom
7.287 0.000 0.000
0.000 7.287 0.000
0.000 0.000 8.417

***

[6]
! TlAgMo2 GGA-PBEsol relaxed; values from VASP
! ΔE to the lowest computed polymorph: 0.0 meV per atom
! Space-group type: No. 99
! ΔH_f (0 K): 0.448 eV per atom
! VASP energy: -6.922 eV/atom
! ρ: 11.87 Mg/m³
&SYSTEM
  ibrav = 0, nat = 4, ntyp = 3
/
ATOMIC_SPECIES
Tl 204.38 Tl.upf
Ag 107.87 Ag.upf
Mo 95.94 Mo.upf
ATOMIC_POSITIONS angstrom
Tl 0.000 0.000 0.000
Ag 1.645 1.645 1.699
Mo 0.000 0.000 3.445
Mo 1.645 1.645 4.583
CELL_PARAMETERS angstrom
3.291 0.000 0.000
0.000 3.291 0.000
0.000 0.000 6.515

***

[7]
! CaTa5 GGA-PBEsol relaxed; values from VASP
! Space-group type: No. 8
! ΔH_f (0 K): 0.514 eV per atom
! VASP energy: -10.300 eV/atom
! ρ: 13.65 Mg/m³
&SYSTEM
  ibrav = 0, nat = 12, ntyp = 2
/
ATOMIC_SPECIES
Ca 40.08 Ca.upf
Ta 180.95 Ta.upf
ATOMIC_POSITIONS angstrom
Ca 0.000 0.000 0.000
Ca 5.810 1.373 0.000
Ta -0.213 0.000 4.613
Ta 1.421 1.373 2.509
Ta 1.241 1.373 7.121
Ta 2.724 0.000 4.747
Ta 4.166 0.000 2.371
Ta 5.597 1.373 4.613
Ta 7.231 0.000 2.509
Ta 7.051 0.000 7.121
Ta 8.534 1.373 4.747
Ta 9.976 1.373 2.371
CELL_PARAMETERS angstrom
11.620 0.000 0.000
0.000 2.746 0.000
-1.633 0.000 7.203

***

[8]
! SrAl2W GGA-PBEsol relaxed; values from VASP
! ΔE to the lowest computed polymorph: 0.0 meV per atom
! Space-group type: No. 47
! ΔH_f (0 K): 0.155 eV per atom
! VASP energy: -5.803 eV/atom
! ρ: 6.80 Mg/m³
&SYSTEM
  ibrav = 0, nat = 4, ntyp = 3
/
ATOMIC_SPECIES
Sr 87.62 Sr.upf
Al 26.98 Al.upf
W 183.84 W.upf
ATOMIC_POSITIONS angstrom
Sr 0.000 0.000 0.000
Al 1.472 1.908 2.224
Al 1.472 1.908 4.851
W 0.000 0.000 3.537
CELL_PARAMETERS angstrom
2.943 0.000 0.000
0.000 3.816 0.000
0.000 0.000 7.075

***

[9]
! CaPt2Rh GGA-PBEsol relaxed; values from VASP
! Space-group type: No. 225
! ΔH_f (0 K): -0.115 eV per atom
! VASP energy: -6.165 eV/atom
! ρ: 13.31 Mg/m³
&SYSTEM
  ibrav = 0, nat = 16, ntyp = 3
/
ATOMIC_SPECIES
Ca 40.08 Ca.upf
Pt 195.08 Pt.upf
Rh 102.91 Rh.upf
ATOMIC_POSITIONS angstrom
Ca 0.000 0.000 0.000
Ca 0.000 3.216 3.216
Ca 3.216 0.000 3.216
Ca 3.216 3.216 0.000
Pt 1.608 1.608 1.608
Pt 1.608 1.608 4.824
Pt 1.608 4.824 1.608
Pt 1.608 4.824 4.824
Pt 4.824 1.608 1.608
Pt 4.824 1.608 4.824
Pt 4.824 4.824 1.608
Pt 4.824 4.824 4.824
Rh 0.000 0.000 3.216
Rh 0.000 3.216 0.000
Rh 3.216 0.000 0.000
Rh 3.216 3.216 3.216
CELL_PARAMETERS angstrom
6.432 0.000 0.000
0.000 6.432 0.000
0.000 0.000 6.432

***

[10]
! GdGa GGA-PBEsol relaxed; values from VASP
! Space-group type: No. 63
! ΔH_f (0 K): -0.652 eV per atom
! VASP energy: -9.546 eV/atom
! ρ: 7.97 Mg/m³
&SYSTEM
  ibrav = 0, nat = 8, ntyp = 2
/
ATOMIC_SPECIES
Gd 157.25 Gd.upf
Ga 69.72 Ga.upf
ATOMIC_POSITIONS angstrom
Gd 0.000 1.546 1.020
Gd 0.000 9.345 3.059
Gd 2.128 3.899 3.059
Gd 2.128 6.992 1.020
Ga 0.000 4.655 1.020
Ga 0.000 6.236 3.059
Ga 2.128 0.790 3.059
Ga 2.128 10.101 1.020
CELL_PARAMETERS angstrom
4.255 0.000 0.000
0.000 10.891 0.000
0.000 0.000 4.079

***

[11]
! NaCoC3 GGA-PBEsol relaxed; values from VASP
! Space-group type: No. 221
! ΔH_f (0 K): 1.941 eV per atom
! VASP energy: -5.673 eV/atom
! ρ: 3.67 Mg/m³
&SYSTEM
  ibrav = 0, nat = 5, ntyp = 3
/
ATOMIC_SPECIES
Na 22.99 Na.upf
Co 58.93 Co.upf
C 12.01 C.upf
ATOMIC_POSITIONS angstrom
Na 0.000 0.000 0.000
Co 1.882 1.882 1.882
C 0.000 1.882 1.882
C 1.882 0.000 1.882
C 1.882 1.882 0.000
CELL_PARAMETERS angstrom
3.765 0.000 0.000
0.000 3.765 0.000
0.000 0.000 3.765

***

[12]
! TaSiSb2 GGA-PBEsol relaxed; values from VASP
! Space-group type: No. 47
! VASP energy: -6.345 eV/atom
! ρ: 9.34 Mg/m³
&SYSTEM
  ibrav = 0, nat = 4, ntyp = 3
/
ATOMIC_SPECIES
Ta 180.95 Ta.upf
Si 28.09 Si.upf
Sb 121.76 Sb.upf
ATOMIC_POSITIONS angstrom
Ta 0.000 0.000 0.000
Si 1.714 0.000 2.504
Sb 0.000 2.344 2.504
Sb 1.714 2.344 0.000
CELL_PARAMETERS angstrom
3.428 0.000 0.000
0.000 4.688 0.000
0.000 0.000 5.008

***

[13]
! BSb2TeF GGA-PBEsol relaxed; values from VASP
! Space-group type: No. 123
! VASP energy: -3.551 eV/atom
! ρ: 5.91 Mg/m³
&SYSTEM
  ibrav = 0, nat = 5, ntyp = 4
/
ATOMIC_SPECIES
B 10.81 B.upf
Sb 121.76 Sb.upf
Te 127.60 Te.upf
F 19.00 F.upf
ATOMIC_POSITIONS angstrom
B 0.000 0.000 0.000
Sb 0.000 2.339 2.573
Sb 2.339 0.000 2.573
Te 2.339 2.339 0.000
F 2.339 2.339 2.573
CELL_PARAMETERS angstrom
4.679 0.000 0.000
0.000 4.679 0.000
0.000 0.000 5.147

***

[14]
! TaIn2Mo GGA-PBEsol relaxed; values from VASP
! ΔE to the lowest computed polymorph: 194.8 meV per atom
! Space-group type: No. 216
! ΔH_f (0 K): 0.444 eV per atom
! VASP energy: -7.127 eV/atom
! ρ: 11.49 Mg/m³
&SYSTEM
  ibrav = 0, nat = 16, ntyp = 3
/
ATOMIC_SPECIES
Ta 180.95 Ta.upf
In 114.82 In.upf
Mo 95.94 Mo.upf
ATOMIC_POSITIONS angstrom
Ta 0.000 0.000 0.000
Ta 0.000 3.320 3.320
Ta 3.320 0.000 3.320
Ta 3.320 3.320 0.000
In 0.000 0.000 3.320
In 0.000 3.320 0.000
In 1.660 1.660 1.660
In 1.660 4.980 4.980
In 3.320 0.000 0.000
In 3.320 3.320 3.320
In 4.980 1.660 4.980
In 4.980 4.980 1.660
Mo 1.660 1.660 4.980
Mo 1.660 4.980 1.660
Mo 4.980 1.660 1.660
Mo 4.980 4.980 4.980
CELL_PARAMETERS angstrom
6.640 0.000 0.000
0.000 6.640 0.000
0.000 0.000 6.640

***

[15]
! MnPtPb2Au GGA-PBEsol relaxed; values from VASP
! Space-group type: No. 123
! ΔH_f (0 K): 0.990 eV per atom
! VASP energy: -4.739 eV/atom
! ρ: 10.64 Mg/m³
&SYSTEM
  ibrav = 0, nat = 5, ntyp = 4
/
ATOMIC_SPECIES
Mn 54.94 Mn.upf
Pt 195.08 Pt.upf
Pb 207.20 Pb.upf
Au 196.97 Au.upf
ATOMIC_POSITIONS angstrom
Mn 0.000 0.000 0.000
Pt 2.630 2.630 0.000
Pb 0.000 2.630 2.429
Pb 2.630 0.000 2.429
Au 0.000 0.000 2.429
CELL_PARAMETERS angstrom
5.260 0.000 0.000
0.000 5.260 0.000
0.000 0.000 4.859

***

[16]
! Cr2InP GGA-PBEsol relaxed; values from VASP
! ΔE to the lowest computed polymorph: 359.7 meV per atom
! Space-group type: No. 225
! ΔH_f (0 K): 0.426 eV per atom
! VASP energy: -6.889 eV/atom
! ρ: 7.46 Mg/m³
&SYSTEM
  ibrav = 0, nat = 16, ntyp = 3
/
ATOMIC_SPECIES
Cr 52.00 Cr.upf
In 114.82 In.upf
P 30.97 P.upf
ATOMIC_POSITIONS angstrom
Cr 1.515 1.515 1.515
Cr 1.515 1.515 4.544
Cr 1.515 4.544 1.515
Cr 1.515 4.544 4.544
Cr 4.544 1.515 1.515
Cr 4.544 1.515 4.544
Cr 4.544 4.544 1.515
Cr 4.544 4.544 4.544
In 0.000 0.000 0.000
In 0.000 3.029 3.029
In 3.029 0.000 3.029
In 3.029 3.029 0.000
P 0.000 0.000 3.029
P 0.000 3.029 0.000
P 3.029 0.000 0.000
P 3.029 3.029 3.029
CELL_PARAMETERS angstrom
6.059 0.000 0.000
0.000 6.059 0.000
0.000 0.000 6.059

***

[17]
! PWO5 GGA-PBEsol relaxed; values from VASP
! ΔE to the lowest computed polymorph: 0.0 meV per atom
! Space-group type: No. 62
! VASP energy: -8.690 eV/atom
! ρ: 4.93 Mg/m³
&SYSTEM
  ibrav = 0, nat = 28, ntyp = 3
/
ATOMIC_SPECIES
P 30.97 P.upf
W 183.84 W.upf
O 16.00 O.upf
ATOMIC_POSITIONS angstrom
P 1.746 1.329 0.191
P 3.879 3.986 3.514
P 7.370 1.329 3.131
P 9.504 3.986 6.453
W 0.678 3.986 2.211
W 4.947 1.329 5.534
W 6.303 3.986 1.111
W 10.572 1.329 4.434
O 0.000 0.000 3.322
O 0.000 2.657 3.322
O 0.954 1.329 5.515
O 1.430 0.059 0.978
O 1.430 2.598 0.978
O 2.385 3.986 3.175
O 3.240 1.329 6.497
O 4.195 2.716 4.300
O 4.195 5.255 4.300
O 4.670 3.986 2.193
O 5.625 0.000 0.000
O 5.625 2.657 0.000
O 6.579 1.329 4.452
O 7.055 0.059 2.344
O 7.055 2.598 2.344
O 8.010 3.986 0.147
O 8.864 1.329 3.470
O 9.819 2.716 5.667
O 9.819 5.255 5.667
O 10.295 3.986 1.130
CELL_PARAMETERS angstrom
11.249 0.000 0.000
0.000 5.314 0.000
0.000 0.000 6.645

***

[18]
! NiTeCl GGA-PBEsol relaxed; values from VASP
! Space-group type: No. 42
! VASP energy: -4.099 eV/atom
! ρ: 5.51 Mg/m³
&SYSTEM
  ibrav = 0, nat = 12, ntyp = 3
/
ATOMIC_SPECIES
Ni 58.69 Ni.upf
Te 127.60 Te.upf
Cl 35.45 Cl.upf
ATOMIC_POSITIONS angstrom
Ni 0.000 0.000 0.000
Ni 0.000 3.064 6.475
Ni 1.684 0.000 6.475
Ni 1.684 3.064 0.000
Te 0.000 0.000 4.743
Te 0.000 3.064 11.218
Te 1.684 0.000 11.218
Te 1.684 3.064 4.743
Cl 0.000 0.000 7.937
Cl 0.000 3.064 1.462
Cl 1.684 0.000 1.462
Cl 1.684 3.064 7.937
CELL_PARAMETERS angstrom
3.368 0.000 0.000
0.000 6.127 0.000
0.000 0.000 12.950

***

[19]
! CuHRh3 GGA-PBEsol relaxed; values from VASP
! Space-group type: No. 221
! VASP energy: -6.341 eV/atom
! ρ: 11.23 Mg/m³
&SYSTEM
  ibrav = 0, nat = 5, ntyp = 3
/
ATOMIC_SPECIES
Cu 63.55 Cu.upf
H 1.01 H.upf
Rh 102.91 Rh.upf
ATOMIC_POSITIONS angstrom
Cu 0.000 0.000 0.000
H 1.904 1.904 1.904
Rh 0.000 1.904 1.904
Rh 1.904 0.000 1.904
Rh 1.904 1.904 0.000
CELL_PARAMETERS angstrom
3.807 0.000 0.000
0.000 3.807 0.000
0.000 0.000 3.807

***

[20]
! SrLaTe2 GGA-PBEsol relaxed; values from VASP
! ΔE to the lowest computed polymorph: 149.9 meV per atom
! Space-group type: No. 38
! VASP energy: -5.047 eV/atom
! ρ: 6.17 Mg/m³
&SYSTEM
  ibrav = 0, nat = 8, ntyp = 3
/
ATOMIC_SPECIES
Sr 87.62 Sr.upf
La 138.91 La.upf
Te 127.60 Te.upf
ATOMIC_POSITIONS angstrom
Sr 0.000 0.000 0.000
Sr 0.000 2.083 6.186
La 2.515 0.000 3.017
La 2.515 2.083 9.204
Te 0.000 0.000 9.185
Te 0.000 2.083 2.998
Te 2.515 0.000 6.308
Te 2.515 2.083 0.121
CELL_PARAMETERS angstrom
5.030 0.000 0.000
0.000 4.166 0.000
0.000 0.000 12.373

***

[21]
! CaHf2AgPt GGA-PBEsol relaxed; values from VASP
! Space-group type: No. 123
! ΔH_f (0 K): 0.246 eV per atom
! VASP energy: -6.437 eV/atom
! ρ: 9.00 Mg/m³
&SYSTEM
  ibrav = 0, nat = 5, ntyp = 4
/
ATOMIC_SPECIES
Ca 40.08 Ca.upf
Hf 178.49 Hf.upf
Ag 107.87 Ag.upf
Pt 195.08 Pt.upf
ATOMIC_POSITIONS angstrom
Ca 0.000 0.000 0.000
Hf 0.000 2.491 2.603
Hf 2.491 0.000 2.603
Ag 2.491 2.491 0.000
Pt 2.491 2.491 2.603
CELL_PARAMETERS angstrom
4.982 0.000 0.000
0.000 4.982 0.000
0.000 0.000 5.205

***

[22]
! MgTaSe2 GGA-PBEsol relaxed; values from VASP
! Space-group type: No. 166
! VASP energy: -6.091 eV/atom
! ρ: 8.00 Mg/m³
&SYSTEM
  ibrav = 0, nat = 12, ntyp = 3
/
ATOMIC_SPECIES
Mg 24.30 Mg.upf
Ta 180.95 Ta.upf
Se 78.96 Se.upf
ATOMIC_POSITIONS angstrom
Mg 0.000 0.000 0.000
Mg 0.000 1.986 14.710
Mg 1.720 0.993 7.355
Ta 0.000 0.000 11.032
Ta 0.000 1.986 3.677
Ta 1.720 0.993 18.387
Se 0.000 0.000 5.422
Se 0.000 0.000 16.642
Se 0.000 1.986 9.288
Se 0.000 1.986 20.132
Se 1.720 0.993 1.933
Se 1.720 0.993 12.777
CELL_PARAMETERS angstrom
3.439 0.000 0.000
-1.720 2.978 0.000
0.000 0.000 22.065